A plane-wave DFT calculation with PBE was carried out for a relaxed LaAl2Fe2C crystal.

Results
Space-group type: P4/mmm, No. 123

Unit cell a=3.900 b=3.900 c=5.832 alpha=90.00 beta=90.00 gamma=90.00
Atoms (fractional coordinates):
La1 0.000 0.000 0.500
C1 0.000 0.000 0.000
Fe1 0.000 0.500 0.000
Al1 0.500 0.500 0.746
Al2 0.500 0.500 0.254
Fe2 0.500 0.000 0.000

***

A plane-wave DFT calculation with PBE was carried out for a relaxed La2AlFeC crystal.

Results
Space-group type: P4/mmm, No. 123

Unit cell a=5.377 b=5.377 c=3.712 alpha=90.00 beta=90.00 gamma=90.00
Last column: magnetic moment on the atom in μB.
Atoms (fractional coordinates):
Fe1 0.000 0.000 0.500  0.82
La1 0.000 0.500 0.000  -0.06
La2 0.500 0.000 0.000  -0.06
Al1 0.500 0.500 0.500  0.00
C1 0.000 0.000 0.000  -0.04

***

A plane-wave DFT calculation with PBE was carried out for a relaxed LiAlFe2C crystal.

Results
Space-group type: P4/mmm, No. 123

Unit cell a=3.711 b=3.711 c=3.859 alpha=90.00 beta=90.00 gamma=90.00
Last column: magnetic moment on the atom in μB.
Atoms (fractional coordinates):
Al1 0.500 0.500 0.500  -0.03
Fe1 0.500 0.000 0.000  0.67
Li1 0.000 0.000 0.500  -0.01
Fe2 0.000 0.500 0.000  0.67
C1 0.000 0.000 0.000  -0.05

***

A plane-wave DFT calculation with PBE was carried out for a relaxed AlFeMo2C crystal.

Results
Space-group type: P4/mmm, No. 123

Unit cell a=4.171 b=4.171 c=3.785 alpha=90.00 beta=90.00 gamma=90.00
Last column: magnetic moment on the atom in μB.
Atoms (fractional coordinates):
Mo1 0.500 0.000 0.000  0.10
Fe1 0.000 0.000 0.500  1.71
Al1 0.500 0.500 0.500  0.00
C1 0.000 0.000 0.000  -0.02
Mo2 0.000 0.500 0.000  0.10

***

The calculation returns the following uncorrected energy values, one per record and in order: -40.115; -32.045; -32.213; -43.194 eV per cell.
The calculation returns the following energy relative to the elements values, one per record and in order: -1.55; -0.76; -0.41; -0.10 eV/f.u..